[1]
DFT (GGA-PBE) results for crystalline ScFe2B4 at its relaxed geometry.

Cell lengths 3.020, 3.218, 6.725 Å; angles 103.84, 102.98, 90.00 degrees
Sites, in units of the cell vectors:
Sc (0.500, 0.000, 0.000)
B (0.352, 0.352, 0.703)
B (0.076, 0.576, 0.151)
B (0.648, 0.648, 0.297)
B (0.924, 0.424, 0.849)
Fe (0.812, 0.812, 0.623)
Fe (0.188, 0.188, 0.377)

Values from the calculation:
The energy of formation is -507 meV per atom. The value obtained for the magnetic moment is 0.43 μB per atom.

=====

[2]
DFT (GGA-PBE) results for crystalline La3YSb at its relaxed geometry.

Cell lengths 5.697, 5.697, 5.697 Å; angles 90.00, 90.00, 90.00 degrees
Sites, in units of the cell vectors:
La (0.500, 0.000, 0.000)
La (0.000, 0.000, 0.500)
La (0.000, 0.500, 0.000)
Y (0.000, 0.000, 0.000)
Sb (0.500, 0.500, 0.500)

Values from the calculation:
The calculation puts the energy above the lowest structure with this stoichiometry at 389 meV per atom. The uncorrected formation energy is 0.382 eV per atom. The value obtained for the magnetic moment is 0.00 μB per atom.

=====

[3]
DFT (GGA-PBE) results for crystalline RbMg at its relaxed geometry.

Cell lengths 6.241, 6.241, 6.241 Å; angles 60.00, 60.00, 60.00 degrees
Sites, in units of the cell vectors:
Mg (0.250, 0.250, 0.250)
Rb (0.000, 0.000, 0.000)

Values from the calculation:
The energy of formation is 666 meV per atom. The value obtained for the magnetic moment is 0.26 μB per atom.

=====

[4]
DFT (GGA-PBE) results for crystalline AcMgNiPd at its relaxed geometry.

Cell lengths 4.989, 4.989, 4.989 Å; angles 60.00, 60.00, 60.00 degrees
Sites, in units of the cell vectors:
Pd (0.000, 0.000, 0.000)
Mg (0.250, 0.250, 0.250)
Ac (0.750, 0.750, 0.750)
Ni (0.500, 0.500, 0.500)

Values from the calculation:
The calculation puts the energy above the lowest structure with this stoichiometry at 175 meV per atom. The energy of formation is -305 meV per atom. The value obtained for the magnetic moment is 0.00 μB per atom.

=====

[5]
DFT (GGA-PBE) results for crystalline Zr3Ni5S12 at its relaxed geometry.

Cell lengths 12.216, 12.216, 12.216 Å; angles 109.47, 109.47, 109.47 degrees
Sites, in units of the cell vectors:
Zr (0.750, 0.875, 0.625)
Zr (0.875, 0.125, 0.250)
Zr (0.625, 0.250, 0.375)
Zr (0.875, 0.750, 0.125)
Zr (0.625, 0.375, 0.750)
Zr (0.250, 0.625, 0.875)
Zr (0.375, 0.625, 0.250)
Zr (0.375, 0.750, 0.625)
Zr (0.125, 0.875, 0.750)
Zr (0.250, 0.125, 0.375)
Zr (0.125, 0.250, 0.875)
Zr (0.750, 0.375, 0.125)
S (0.376, 0.966, 0.792)
S (0.590, 0.966, 0.674)
S (0.590, 0.624, 0.416)
S (0.674, 0.466, 0.590)
S (0.208, 0.534, 0.624)
S (0.966, 0.376, 0.292)
S (0.034, 0.624, 0.708)
S (0.916, 0.090, 0.624)
S (0.292, 0.876, 0.966)
S (0.584, 0.708, 0.674)
S (0.910, 0.084, 0.876)
S (0.876, 0.584, 0.910)
S (0.090, 0.174, 0.466)
S (0.708, 0.124, 0.034)
S (0.410, 0.376, 0.584)
S (0.124, 0.708, 0.534)
S (0.376, 0.410, 0.084)
S (0.674, 0.208, 0.584)
S (0.090, 0.916, 0.124)
S (0.966, 0.590, 0.174)
S (0.534, 0.326, 0.910)
S (0.826, 0.910, 0.034)
S (0.792, 0.326, 0.916)
S (0.792, 0.466, 0.376)
S (0.084, 0.910, 0.376)
S (0.034, 0.410, 0.826)
S (0.534, 0.208, 0.124)
S (0.584, 0.876, 0.410)
S (0.174, 0.090, 0.966)
S (0.466, 0.674, 0.090)
S (0.174, 0.084, 0.708)
S (0.910, 0.826, 0.534)
S (0.292, 0.416, 0.826)
S (0.624, 0.590, 0.916)
S (0.326, 0.534, 0.410)
S (0.326, 0.792, 0.416)
S (0.124, 0.416, 0.090)
S (0.916, 0.826, 0.792)
S (0.708, 0.584, 0.174)
S (0.466, 0.792, 0.876)
S (0.624, 0.034, 0.208)
S (0.208, 0.674, 0.084)
S (0.084, 0.174, 0.208)
S (0.416, 0.124, 0.590)
S (0.826, 0.916, 0.292)
S (0.876, 0.292, 0.466)
S (0.416, 0.292, 0.326)
S (0.410, 0.034, 0.326)
Ni (0.125, 0.375, 0.250)
Ni (0.000, 0.000, 0.000)
Ni (0.250, 0.875, 0.125)
Ni (0.000, 0.500, 0.000)
Ni (0.875, 0.250, 0.625)
Ni (0.750, 0.625, 0.375)
Ni (0.375, 0.125, 0.750)
Ni (0.500, 0.500, 0.000)
Ni (0.125, 0.750, 0.375)
Ni (0.375, 0.250, 0.125)
Ni (0.750, 0.125, 0.875)
Ni (0.500, 0.000, 0.500)
Ni (0.500, 0.500, 0.500)
Ni (0.625, 0.750, 0.875)
Ni (0.875, 0.625, 0.750)
Ni (0.250, 0.375, 0.625)
Ni (0.000, 0.000, 0.500)
Ni (0.500, 0.000, 0.000)
Ni (0.000, 0.500, 0.500)
Ni (0.625, 0.875, 0.250)

Values from the calculation:
The uncorrected formation energy is -0.751 eV per atom. The value obtained for the magnetic moment is 0.00 μB per atom.

=====

[6]
DFT (GGA-PBE) results for crystalline ZrV2GeH at its relaxed geometry.

Cell lengths 3.897, 3.897, 4.335 Å; angles 90.00, 90.00, 90.00 degrees
Sites, in units of the cell vectors:
V (0.000, 0.500, 0.000)
V (0.500, 0.000, 0.000)
Zr (0.000, 0.000, 0.500)
H (0.000, 0.000, 0.000)
Ge (0.500, 0.500, 0.500)

Values from the calculation:
The value obtained for the total energy is -36.0 eV per cell. The value obtained for the magnetic moment is 0.00 μB per atom.

=====

[7]
DFT (GGA-PBE) results for crystalline Na2Li2NpN4 at its relaxed geometry.

Cell lengths 3.488, 6.493, 7.751 Å; angles 131.29, 90.00, 105.58 degrees
Sites, in units of the cell vectors:
Np (0.000, 0.000, 0.000)
N (0.806, 0.612, 0.894)
N (0.194, 0.388, 0.106)
N (0.442, 0.885, 0.777)
N (0.558, 0.115, 0.223)
Li (0.652, 0.305, 0.917)
Li (0.348, 0.695, 0.083)
Na (0.821, 0.641, 0.428)
Na (0.179, 0.359, 0.572)

Values from the calculation:
The uncorrected formation energy is -0.500 eV per atom. The value obtained for the magnetic moment is 0.10 μB per atom.

=====

What is the magnetic moment in the fourth record? 0.00 μB per atom